[1]
This record from the Alexandria database describes an optimized crystal structure of Ac2Zn3CuSn4. The functional is PBE.

Unit cell a=4.763 b=4.763 c=10.841 alpha=90.00 beta=90.00 gamma=90.00
Atoms (fractional coordinates):
Sn: 0.500 0.000 0.623
Sn: 0.500 0.500 0.000
Sn: 0.000 0.500 0.377
Sn: 0.000 0.000 0.000
Ac: 0.000 0.500 0.738
Ac: 0.500 0.000 0.262
Zn: 0.000 0.500 0.135
Zn: 0.500 0.000 0.865
Zn: 0.000 0.000 0.500
Cu: 0.500 0.500 0.500

Computed properties:
DOS at the Fermi energy (states/eV/cell): 3.42
Energy of formation (eV per atom): -0.4035
Final energy (Ry per atom): -0.26593

[2]
This record from the Alexandria database describes an optimized crystal structure of Ga2CuIr. The functional is PBE.

Unit cell a=5.161 b=4.769 c=9.490 alpha=92.18 beta=90.00 gamma=90.00
Atoms (fractional coordinates):
Ga: 0.157 0.938 0.617
Ga: 0.843 0.438 0.117
Ga: 0.852 0.051 0.872
Ga: 0.148 0.949 0.128
Ga: 0.157 0.562 0.883
Ga: 0.852 0.449 0.628
Ga: 0.843 0.062 0.383
Ga: 0.148 0.551 0.372
Cu: 0.359 0.065 0.877
Cu: 0.641 0.935 0.123
Cu: 0.359 0.435 0.623
Cu: 0.641 0.565 0.377
Ir: 0.352 0.441 0.130
Ir: 0.648 0.941 0.630
Ir: 0.352 0.059 0.370
Ir: 0.648 0.559 0.870

Computed properties:
DOS at the Fermi energy (states/eV/cell): 6.10
Energy of formation (eV per atom): -0.2016
Final energy (Ry per atom): -0.36414

[3]
This record from the Alexandria database describes an optimized crystal structure of ScTi2InC. The functional is PBE.

Unit cell a=4.809 b=4.261 c=4.809 alpha=90.00 beta=90.00 gamma=90.00
Atoms (fractional coordinates):
Ti: 0.500 0.000 0.000
Ti: 0.000 0.000 0.500
C: 0.000 0.500 0.000
In: 0.500 0.500 0.500
Sc: 0.000 0.000 0.000

Computed properties:
DOS at the Fermi energy (states/eV/cell): 5.76
Energy of formation (eV per atom): 1.3909
Energy relative to the lowest polymorph listed for this composition (meV per atom): 1949.2
Final energy (Ry per atom): -0.39879

[4]
This record from the Alexandria database describes an optimized crystal structure of In2RuRh. The functional is PBE.

Unit cell a=5.258 b=5.258 c=5.258 alpha=135.92 beta=135.92 gamma=64.10
Atoms (fractional coordinates):
Ru: 0.750 0.250 0.500
In: 0.250 0.750 0.500
In: 0.000 0.000 0.000
Rh: 0.500 0.500 0.000

Computed properties:
DOS at the Fermi energy (states/eV/cell): 4.67
Energy of formation (eV per atom): 0.0857
Final energy (Ry per atom): -0.39985

> Which of these has the highest energy of formation?

ScTi2InC

> What is the formula in the second record?

Ga2CuIr

Please write out number 2 again, unchanged.
This record from the Alexandria database describes an optimized crystal structure of Ga2CuIr. The functional is PBE.

Unit cell a=5.161 b=4.769 c=9.490 alpha=92.18 beta=90.00 gamma=90.00
Atoms (fractional coordinates):
Ga: 0.157 0.938 0.617
Ga: 0.843 0.438 0.117
Ga: 0.852 0.051 0.872
Ga: 0.148 0.949 0.128
Ga: 0.157 0.562 0.883
Ga: 0.852 0.449 0.628
Ga: 0.843 0.062 0.383
Ga: 0.148 0.551 0.372
Cu: 0.359 0.065 0.877
Cu: 0.641 0.935 0.123
Cu: 0.359 0.435 0.623
Cu: 0.641 0.565 0.377
Ir: 0.352 0.441 0.130
Ir: 0.648 0.941 0.630
Ir: 0.352 0.059 0.370
Ir: 0.648 0.559 0.870

Computed properties:
DOS at the Fermi energy (states/eV/cell): 6.10
Energy of formation (eV per atom): -0.2016
Final energy (Ry per atom): -0.36414